(1)
## Ta2PbF (PBE)

Data for a relaxed structure of Ta2PbF.

```
data_Ta2PbF
_symmetry_space_group_name_H-M 'P 1'
_symmetry_Int_Tables_number 1
_cell_length_a 4.6675
_cell_length_b 4.6675
_cell_length_c 4.6675
_cell_angle_alpha 60.00
_cell_angle_beta 60.00
_cell_angle_gamma 60.00
loop_
_symmetry_equiv_pos_as_xyz
'x,y,z'
loop_
_atom_site_label
_atom_site_fract_x
_atom_site_fract_y
_atom_site_fract_z
Pb1 0.5000 0.5000 0.5000
F1 0.0000 0.0000 0.0000
Ta1 0.2500 0.2500 0.2500
Ta2 0.7500 0.7500 0.7500
```

Results
symmetry	No. 225
distance to the lowest polymorph of the same formula	0	meV/atom
D(E_F)	3.22	states/eV/cell
formation energy without anion corrections	113.5	kJ/mol of formula units
uncorrected energy	-7.027	eV/atom
crystal system	cubic

(2)
## TaPbF2 (PBE)

Data for a relaxed structure of TaPbF2.

```
data_TaPbF2
_symmetry_space_group_name_H-M 'P 1'
_symmetry_Int_Tables_number 1
_cell_length_a 4.4543
_cell_length_b 4.4543
_cell_length_c 7.7841
_cell_angle_alpha 73.37
_cell_angle_beta 73.37
_cell_angle_gamma 90.00
loop_
_symmetry_equiv_pos_as_xyz
'x,y,z'
loop_
_atom_site_label
_atom_site_fract_x
_atom_site_fract_y
_atom_site_fract_z
Pb1 0.0000 0.0000 0.0000
Pb2 0.7500 0.2500 0.5000
F1 0.4427 0.1250 0.2500
F2 0.3073 0.6250 0.2500
F3 0.3750 0.5573 0.7500
F4 0.8750 0.6927 0.7500
Ta1 0.5000 0.5000 0.0000
Ta2 0.2500 0.7500 0.5000
```

Results
symmetry	No. 122
distance to the lowest polymorph of the same formula	376	meV/atom
D(E_F)	5.69	states/eV/cell
formation energy without anion corrections	-413.9	kJ/mol of formula units
uncorrected energy	-5.898	eV/atom
crystal system	tetragonal

(3)
## TaPbF2 (PBE)

Data for a relaxed structure of TaPbF2.

```
data_TaPbF2
_symmetry_space_group_name_H-M 'P 1'
_symmetry_Int_Tables_number 1
_cell_length_a 9.9138
_cell_length_b 9.9138
_cell_length_c 9.9138
_cell_angle_alpha 18.62
_cell_angle_beta 18.62
_cell_angle_gamma 18.62
loop_
_symmetry_equiv_pos_as_xyz
'x,y,z'
loop_
_atom_site_label
_atom_site_fract_x
_atom_site_fract_y
_atom_site_fract_z
Pb1 0.5000 0.5000 0.5000
F1 0.9349 0.9349 0.9349
F2 0.0651 0.0651 0.0651
Ta1 0.0000 0.0000 0.0000
```

Results
symmetry	No. 166
distance to the lowest polymorph of the same formula	0	meV/atom
D(E_F)	2.85	states/eV/cell
formation energy without anion corrections	-559.2	kJ/mol of formula units
uncorrected energy	-6.275	eV/atom
crystal system	trigonal

(4)
## TaPb2F (PBE)

Data for a relaxed structure of TaPb2F.

```
data_TaPb2F
_symmetry_space_group_name_H-M 'P 1'
_symmetry_Int_Tables_number 1
_cell_length_a 4.9844
_cell_length_b 4.9844
_cell_length_c 4.9844
_cell_angle_alpha 60.00
_cell_angle_beta 60.00
_cell_angle_gamma 60.00
loop_
_symmetry_equiv_pos_as_xyz
'x,y,z'
loop_
_atom_site_label
_atom_site_fract_x
_atom_site_fract_y
_atom_site_fract_z
Pb1 0.2500 0.2500 0.2500
Pb2 0.7500 0.7500 0.7500
F1 0.0000 0.0000 0.0000
Ta1 0.5000 0.5000 0.5000
```

Results
symmetry	No. 225
distance to the lowest polymorph of the same formula	0	meV/atom
D(E_F)	5.66	states/eV/cell
formation energy without anion corrections	75.5	kJ/mol of formula units
uncorrected energy	-5.089	eV/atom
crystal system	cubic

(5)
## TaPbF2 (PBE)

Data for a relaxed structure of TaPbF2.

```
data_TaPbF2
_symmetry_space_group_name_H-M 'P 1'
_symmetry_Int_Tables_number 1
_cell_length_a 4.4749
_cell_length_b 4.4749
_cell_length_c 4.4749
_cell_angle_alpha 60.00
_cell_angle_beta 60.00
_cell_angle_gamma 60.00
loop_
_symmetry_equiv_pos_as_xyz
'x,y,z'
loop_
_atom_site_label
_atom_site_fract_x
_atom_site_fract_y
_atom_site_fract_z
Pb1 0.5000 0.5000 0.5000
F1 0.2500 0.2500 0.2500
F2 0.7500 0.7500 0.7500
Ta1 0.0000 0.0000 0.0000
```

Results
symmetry	No. 225
distance to the lowest polymorph of the same formula	1050	meV/atom
D(E_F)	2.52	states/eV/cell
formation energy without anion corrections	-153.9	kJ/mol of formula units
uncorrected energy	-5.225	eV/atom
crystal system	cubic

(6)
## TaPb2F2 (PBE)

Data for a relaxed structure of TaPb2F2.

```
data_TaPb2F2
_symmetry_space_group_name_H-M 'P 1'
_symmetry_Int_Tables_number 1
_cell_length_a 3.5382
_cell_length_b 3.5382
_cell_length_c 7.6892
_cell_angle_alpha 76.70
_cell_angle_beta 76.70
_cell_angle_gamma 90.00
loop_
_symmetry_equiv_pos_as_xyz
'x,y,z'
loop_
_atom_site_label
_atom_site_fract_x
_atom_site_fract_y
_atom_site_fract_z
Pb1 0.3723 0.3723 0.2553
Pb2 0.6277 0.6277 0.7447
F1 0.7500 0.2500 0.5000
F2 0.2500 0.7500 0.5000
Ta1 0.0000 0.0000 0.0000
```

Results
symmetry	No. 139
distance to the lowest polymorph of the same formula	0	meV/atom
D(E_F)	4.41	states/eV/cell
formation energy without anion corrections	-251.9	kJ/mol of formula units
uncorrected energy	-5.125	eV/atom
crystal system	tetragonal